Computed, not measured: an optimized crystal structure of Hf2AlAg at the PBE-GGA level of DFT.

a = 2.9740 Å, b = 2.9740 Å, c = 32.1077 Å
α = 90.00°, β = 90.00°, γ = 120.00°
Sites, in units of the cell vectors:
1 Hf 0.0000 0.0000 0.0899
2 Hf 0.0000 0.0000 0.9101
3 Hf 0.3333 0.6667 0.5768
4 Hf 0.3333 0.6667 0.7566
5 Hf 0.6667 0.3333 0.2434
6 Hf 0.6667 0.3333 0.4232
7 Al 0.0000 0.0000 0.5000
8 Al 0.3333 0.6667 0.1667
9 Al 0.6667 0.3333 0.8333
10 Ag 0.0000 0.0000 0.0000
11 Ag 0.3333 0.6667 0.6667
12 Ag 0.6667 0.3333 0.3333

Properties
* ΔH_f (0 K): 0.198 eV/atom


Computed, not measured: an optimized crystal structure of Hf2AlAg at the PBE-GGA level of DFT.

a = 4.3008 Å, b = 4.3008 Å, c = 4.1727 Å
α = 90.00°, β = 90.00°, γ = 90.00°
Sites, in units of the cell vectors:
1 Hf 0.0000 0.5000 0.0000
2 Hf 0.5000 0.0000 0.0000
3 Al 0.0000 0.0000 0.5000
4 Ag 0.5000 0.5000 0.5000

Properties
* ΔH_f (0 K): -0.127 eV/atom


Computed, not measured: an optimized crystal structure of Hf2AlAg at the PBE-GGA level of DFT.

a = 7.6863 Å, b = 7.6863 Å, c = 5.6389 Å
α = 90.00°, β = 90.00°, γ = 90.00°
Sites, in units of the cell vectors:
1 Hf 0.2427 0.2500 0.1250
2 Hf 0.2500 0.7427 0.3750
3 Hf 0.2500 0.7573 0.8750
4 Hf 0.2573 0.2500 0.6250
5 Hf 0.7427 0.7500 0.6250
6 Hf 0.7500 0.2427 0.8750
7 Hf 0.7500 0.2573 0.3750
8 Hf 0.7573 0.7500 0.1250
9 Al 0.0000 0.0000 0.5000
10 Al 0.0000 0.5000 0.7500
11 Al 0.5000 0.0000 0.2500
12 Al 0.5000 0.5000 0.0000
13 Ag 0.0000 0.0000 0.0000
14 Ag 0.0000 0.5000 0.2500
15 Ag 0.5000 0.0000 0.7500
16 Ag 0.5000 0.5000 0.5000

Properties
* ΔH_f (0 K): 0.302 eV/atom


Computed, not measured: an optimized crystal structure of Hf2AlAg2 at the PBE-GGA level of DFT.

a = 6.8732 Å, b = 6.8732 Å, c = 4.1584 Å
α = 90.00°, β = 90.00°, γ = 90.00°
Sites, in units of the cell vectors:
1 Hf 0.1661 0.3339 0.0000
2 Hf 0.3339 0.8339 0.0000
3 Hf 0.6661 0.1661 0.0000
4 Hf 0.8339 0.6661 0.0000
5 Al 0.0000 0.0000 0.5000
6 Al 0.5000 0.5000 0.5000
7 Ag 0.1395 0.6395 0.5000
8 Ag 0.3605 0.1395 0.5000
9 Ag 0.6395 0.8605 0.5000
10 Ag 0.8605 0.3605 0.5000

Properties
* ΔH_f (0 K): 0.013 eV/atom


Computed, not measured: an optimized crystal structure of HfAlAg3 at the PBE-GGA level of DFT.

a = 4.7150 Å, b = 4.7150 Å, c = 4.7150 Å
α = 90.00°, β = 90.00°, γ = 90.00°
Sites, in units of the cell vectors:
1 Hf 0.0000 0.0000 0.0000
2 Al 0.5000 0.5000 0.5000
3 Ag 0.0000 0.5000 0.5000
4 Ag 0.5000 0.0000 0.5000
5 Ag 0.5000 0.5000 0.0000

Properties
* offset from the most stable computed form: 0 meV/atom
* ΔH_f (0 K): 0.600 eV/atom


Computed, not measured: an optimized crystal structure of Hf2Al3Ag at the PBE-GGA level of DFT.

a = 5.2694 Å, b = 5.2694 Å, c = 5.2694 Å
α = 61.09°, β = 61.09°, γ = 61.09°
Sites, in units of the cell vectors:
1 Hf 0.1236 0.1236 0.1236
2 Hf 0.8764 0.8764 0.8764
3 Al 0.0000 0.5000 0.5000
4 Al 0.5000 0.0000 0.5000
5 Al 0.5000 0.5000 0.0000
6 Ag 0.5000 0.5000 0.5000

Properties
* ΔH_f (0 K): -0.359 eV/atom


Computed, not measured: an optimized crystal structure of HfAlAg3 at the PBE-GGA level of DFT.

a = 5.2870 Å, b = 5.2870 Å, c = 5.2870 Å
α = 90.00°, β = 90.00°, γ = 90.00°
Sites, in units of the cell vectors:
1 Hf 0.0000 0.0000 0.0000
2 Al 0.5000 0.5000 0.5000
3 Ag 0.0000 0.0000 0.5000
4 Ag 0.0000 0.5000 0.0000
5 Ag 0.5000 0.0000 0.0000

Properties
* offset from the most stable computed form: 641 meV/atom
* ΔH_f (0 K): 1.241 eV/atom


Computed, not measured: an optimized crystal structure of Hf3Al12Ag5 at the PBE-GGA level of DFT.

a = 13.4682 Å, b = 13.4682 Å, c = 13.4682 Å
α = 109.47°, β = 109.47°, γ = 109.47°
Sites, in units of the cell vectors:
1 Hf 0.1250 0.2500 0.3750
2 Hf 0.1250 0.3750 0.7500
3 Hf 0.2500 0.3750 0.1250
4 Hf 0.2500 0.8750 0.6250
5 Hf 0.3750 0.1250 0.2500
6 Hf 0.3750 0.7500 0.1250
7 Hf 0.6250 0.2500 0.8750
8 Hf 0.6250 0.8750 0.7500
9 Hf 0.7500 0.1250 0.3750
10 Hf 0.7500 0.6250 0.8750
11 Hf 0.8750 0.6250 0.2500
12 Hf 0.8750 0.7500 0.6250
13 Al 0.0630 0.2222 0.1387
14 Al 0.0630 0.3409 0.9244
15 Al 0.0756 0.6387 0.4165
16 Al 0.0756 0.9370 0.6591
17 Al 0.0835 0.7222 0.6591
18 Al 0.0835 0.8613 0.4244
19 Al 0.1387 0.0630 0.2222
20 Al 0.1387 0.5756 0.9165
21 Al 0.1591 0.2222 0.5835
22 Al 0.1591 0.4370 0.5756
23 Al 0.2222 0.1387 0.0630
24 Al 0.2222 0.5835 0.1591
25 Al 0.2778 0.3409 0.9165
26 Al 0.2778 0.4370 0.3613
27 Al 0.3409 0.9165 0.2778
28 Al 0.3409 0.9244 0.0630
29 Al 0.3613 0.2778 0.4370
30 Al 0.3613 0.5835 0.9244
31 Al 0.4165 0.0756 0.6387
32 Al 0.4165 0.8409 0.7778
33 Al 0.4244 0.0835 0.8613
34 Al 0.4244 0.8409 0.5630
35 Al 0.4370 0.3613 0.2778
36 Al 0.4370 0.5756 0.1591
37 Al 0.5630 0.4244 0.8409
38 Al 0.5630 0.6387 0.7222
39 Al 0.5756 0.1591 0.4370
40 Al 0.5756 0.9165 0.1387
41 Al 0.5835 0.1591 0.2222
42 Al 0.5835 0.9244 0.3613
43 Al 0.6387 0.4165 0.0756
44 Al 0.6387 0.7222 0.5630
45 Al 0.6591 0.0756 0.9370
46 Al 0.6591 0.0835 0.7222
47 Al 0.7222 0.5630 0.6387
48 Al 0.7222 0.6591 0.0835
49 Al 0.7778 0.4165 0.8409
50 Al 0.7778 0.8613 0.9370
51 Al 0.8409 0.5630 0.4244
52 Al 0.8409 0.7778 0.4165
53 Al 0.8613 0.4244 0.0835
54 Al 0.8613 0.9370 0.7778
55 Al 0.9165 0.1387 0.5756
56 Al 0.9165 0.2778 0.3409
57 Al 0.9244 0.0630 0.3409
58 Al 0.9244 0.3613 0.5835
59 Al 0.9370 0.6591 0.0756
60 Al 0.9370 0.7778 0.8613
61 Ag 0.0000 0.0000 0.0000
62 Ag 0.0000 0.0000 0.5000
63 Ag 0.0000 0.5000 0.0000
64 Ag 0.0000 0.5000 0.5000
65 Ag 0.1250 0.7500 0.8750
66 Ag 0.1250 0.8750 0.2500
67 Ag 0.2500 0.1250 0.8750
68 Ag 0.2500 0.6250 0.3750
69 Ag 0.3750 0.2500 0.6250
70 Ag 0.3750 0.6250 0.7500
71 Ag 0.5000 0.0000 0.0000
72 Ag 0.5000 0.0000 0.5000
73 Ag 0.5000 0.5000 0.0000
74 Ag 0.5000 0.5000 0.5000
75 Ag 0.6250 0.3750 0.2500
76 Ag 0.6250 0.7500 0.3750
77 Ag 0.7500 0.3750 0.6250
78 Ag 0.7500 0.8750 0.1250
79 Ag 0.8750 0.1250 0.7500
80 Ag 0.8750 0.2500 0.1250

Properties
* ΔH_f (0 K): 0.430 eV/atom


Computed, not measured: an optimized crystal structure of HoHfAlAg at the PBE-GGA level of DFT.

a = 7.0062 Å, b = 7.0062 Å, c = 7.0062 Å
α = 90.00°, β = 90.00°, γ = 90.00°
Sites, in units of the cell vectors:
1 Ho 0.0000 0.0000 0.0000
2 Ho 0.0000 0.5000 0.5000
3 Ho 0.5000 0.0000 0.5000
4 Ho 0.5000 0.5000 0.0000
5 Hf 0.0000 0.0000 0.5000
6 Hf 0.0000 0.5000 0.0000
7 Hf 0.5000 0.0000 0.0000
8 Hf 0.5000 0.5000 0.5000
9 Al 0.2500 0.2500 0.2500
10 Al 0.2500 0.7500 0.7500
11 Al 0.7500 0.2500 0.7500
12 Al 0.7500 0.7500 0.2500
13 Ag 0.2500 0.2500 0.7500
14 Ag 0.2500 0.7500 0.2500
15 Ag 0.7500 0.2500 0.2500
16 Ag 0.7500 0.7500 0.7500

Properties
* ΔH_f (0 K): -0.153 eV/atom


Computed, not measured: an optimized crystal structure of HfAlAg2I at the PBE-GGA level of DFT.

a = 5.2243 Å, b = 5.2243 Å, c = 5.3476 Å
α = 90.00°, β = 90.00°, γ = 90.00°
Sites, in units of the cell vectors:
1 Hf 0.0000 0.0000 0.0000
2 Al 0.5000 0.5000 0.0000
3 Ag 0.0000 0.5000 0.5000
4 Ag 0.5000 0.0000 0.5000
5 I 0.0000 0.0000 0.5000

Properties
* formation energy without anion corrections: 1.22 eV/atom


Computed, not measured: an optimized crystal structure of Hf2AlInAg at the PBE-GGA level of DFT.

a = 5.0078 Å, b = 5.0078 Å, c = 4.8813 Å
α = 90.00°, β = 90.00°, γ = 90.00°
Sites, in units of the cell vectors:
1 Hf 0.0000 0.5000 0.0000
2 Hf 0.5000 0.0000 0.0000
3 Al 0.0000 0.0000 0.0000
4 In 0.0000 0.0000 0.5000
5 Ag 0.5000 0.5000 0.5000

Properties
* ΔH_f (0 K): 0.789 eV/atom


Computed, not measured: an optimized crystal structure of HfAlAgIr at the PBE-GGA level of DFT.

a = 6.4614 Å, b = 6.4614 Å, c = 6.4614 Å
α = 90.00°, β = 90.00°, γ = 90.00°
Sites, in units of the cell vectors:
1 Hf 0.0000 0.0000 0.0000
2 Hf 0.0000 0.5000 0.5000
3 Hf 0.5000 0.0000 0.5000
4 Hf 0.5000 0.5000 0.0000
5 Al 0.0000 0.0000 0.5000
6 Al 0.0000 0.5000 0.0000
7 Al 0.5000 0.0000 0.0000
8 Al 0.5000 0.5000 0.5000
9 Ag 0.2500 0.2500 0.7500
10 Ag 0.2500 0.7500 0.2500
11 Ag 0.7500 0.2500 0.2500
12 Ag 0.7500 0.7500 0.7500
13 Ir 0.2500 0.2500 0.2500
14 Ir 0.2500 0.7500 0.7500
15 Ir 0.7500 0.2500 0.7500
16 Ir 0.7500 0.7500 0.2500

Properties
* ΔH_f (0 K): -0.521 eV/atom


How do the records compare in volume? In the order shown, they have 246 77 333 196 105 106 148 1881 344 146 122 270 Å³/cell.
How do the records compare in N(E_F)? In the order shown, they have 14.38 4.01 14.74 6.57 4.34 5.45 3.85 55.14 13.47 3.32 3.02 13.77 states/eV/cell.
How do the records compare in E_tot? In the order shown, they have -6.427 -6.752 -6.323 -5.857 -3.850 -6.023 -3.209 -4.021 -5.434 -2.972 -5.058 -6.873 eV/atom.